(1)
An optimized crystal structure of HoThNi. Source: the Alexandria database, functional GGA-PBE.

a = 3.7614 Å, b = 3.7614 Å, c = 6.3724 Å
α = 90.00°, β = 90.00°, γ = 120.00°
Closest atoms and distances in Å follow each position.
Element x y z (fractional)
1 Ho 0.0000 0.0000 0.0000  3 Ni 2.77
2 Th 0.6667 0.3333 0.4670  3 Ni 2.74
3 Ni 0.3333 0.6667 0.7302  3 Th 2.74, 3 Ho 2.77

Energy relative to the lowest polymorph listed for this composition: 111 meV/atom
Energy relative to the elements: -0.1470 eV/atom
V: 78.1 Å³/cell


(2)
An optimized crystal structure of Ho2ThNi6. Source: the Alexandria database, functional GGA-PBE.

a = 7.5308 Å, b = 7.5308 Å, c = 7.5308 Å
α = 152.51°, β = 125.55°, γ = 62.06°
Closest atoms and distances in Å follow each position.
Element x y z (fractional)
1 Ho 0.1444 0.1444 0.0000  10 Ni 2.72-2.86
2 Ho 0.8556 0.8556 0.0000  10 Ni 2.72-2.86
3 Th 0.5000 0.0000 0.5000  12 Ni 2.86-3.08
4 Ni 0.1509 0.3315 0.8194  2 Ni 2.39-2.49
5 Ni 0.1764 0.5000 0.6764  3 Ni 2.39-2.43
6 Ni 0.4879 0.6685 0.8194  2 Ni 2.39-2.49
7 Ni 0.5121 0.3315 0.1806  2 Ni 2.39-2.49
8 Ni 0.8236 0.5000 0.3236  3 Ni 2.39-2.43
9 Ni 0.8491 0.6685 0.1806  2 Ni 2.39-2.49

Energy relative to the lowest polymorph listed for this composition: 184 meV/atom
Energy relative to the elements: -0.2270 eV/atom
V: 159.1 Å³/cell


(3)
An optimized crystal structure of HoThNi3. Source: the Alexandria database, functional GGA-PBE.

a = 12.7257 Å, b = 12.7257 Å, c = 4.0538 Å
α = 90.00°, β = 90.00°, γ = 163.19°
Closest atoms and distances in Å follow each position.
Element x y z (fractional)
1 Ho 0.0672 0.9328 0.7500  10 Ni 2.93-3.00
2 Ho 0.9328 0.0672 0.2500  10 Ni 2.93-3.00
3 Th 0.1958 0.8042 0.2500  6 Ni 2.76-2.78
4 Th 0.8042 0.1958 0.7500  6 Ni 2.76-2.78
5 Ni 0.3212 0.6788 0.2500  2 Ni 2.59, 4 Th 2.78
6 Ni 0.3851 0.6149 0.7500  3 Ni 2.32-2.59
7 Ni 0.4772 0.5228 0.7500  3 Ni 2.32-2.33
8 Ni 0.5228 0.4772 0.2500  3 Ni 2.32-2.33
9 Ni 0.6149 0.3851 0.2500  3 Ni 2.32-2.59
10 Ni 0.6788 0.3212 0.7500  2 Ni 2.59, 4 Th 2.78

Energy relative to the lowest polymorph listed for this composition: 19 meV/atom
Energy relative to the elements: -0.4279 eV/atom
V: 189.8 Å³/cell


(4)
An optimized crystal structure of Ho3ThNi8. Source: the Alexandria database, functional GGA-PBE.

a = 8.8142 Å, b = 8.8142 Å, c = 8.8142 Å
α = 33.55°, β = 33.55°, γ = 33.55°
Closest atoms and distances in Å follow each position.
Element x y z (fractional)
1 Ho 0.0000 0.0000 0.0000  12 Ni 2.94-3.00, 4 Ho 3.07-3.08
2 Ho 0.1231 0.1231 0.1231  12 Ni 2.94-3.06, 1 Ho 3.07, 3 Th 3.16
3 Ho 0.6297 0.6297 0.6297  12 Ni 2.91-3.02, 3 Ho 3.08, 1 Th 3.17
4 Th 0.5027 0.5027 0.5027  12 Ni 2.97-3.02, 4 Ho 3.16-3.17
5 Ni 0.0634 0.5640 0.5640  6 Ni 2.54-2.55
6 Ni 0.0651 0.0651 0.5631  6 Ni 2.53-2.56
7 Ni 0.0651 0.5631 0.0651  6 Ni 2.53-2.56
8 Ni 0.3142 0.3142 0.3142  6 Ni 2.54
9 Ni 0.5631 0.0651 0.0651  6 Ni 2.53-2.56
10 Ni 0.5640 0.0634 0.5640  6 Ni 2.54-2.55
11 Ni 0.5640 0.5640 0.0634  6 Ni 2.54-2.55
12 Ni 0.8139 0.8139 0.8139  6 Ni 2.55-2.56

Energy relative to the elements: -0.4438 eV/atom
V: 186.3 Å³/cell


(5)
An optimized crystal structure of HoTh2Ni. Source: the Alexandria database, functional GGA-PBE.

a = 3.5556 Å, b = 3.5556 Å, c = 8.4687 Å
α = 90.00°, β = 90.00°, γ = 90.00°
Closest atoms and distances in Å follow each position.
Element x y z (fractional)
1 Ho 0.0000 0.0000 0.0000  4 Ho 3.56, 8 Th 3.61
2 Th 0.5000 0.5000 0.3053  4 Ni 3.01, 1 Th 3.30
3 Th 0.5000 0.5000 0.6947  4 Ni 3.01, 1 Th 3.30
4 Ni 0.0000 0.0000 0.5000  8 Th 3.01

Energy relative to the lowest polymorph listed for this composition: 130 meV/atom
Energy relative to the elements: -0.0925 eV/atom
V: 107.1 Å³/cell


(6)
An optimized crystal structure of HoTh2Ni9. Source: the Alexandria database, functional GGA-PBE.

a = 4.9817 Å, b = 4.9817 Å, c = 16.6632 Å
α = 90.00°, β = 90.00°, γ = 120.00°
Closest atoms and distances in Å follow each position.
Element x y z (fractional)
1 Ho 0.3333 0.6667 0.2500  18 Ni 2.88-3.21
2 Ho 0.6667 0.3333 0.7500  18 Ni 2.88-3.21
3 Th 0.3333 0.6667 0.0464  9 Ni 2.85-2.98
4 Th 0.3333 0.6667 0.4536  9 Ni 2.85-2.98
5 Th 0.6667 0.3333 0.5464  9 Ni 2.85-2.98
6 Th 0.6667 0.3333 0.9536  9 Ni 2.85-2.98
7 Ni 0.0000 0.0000 0.0000  6 Ni 2.59
8 Ni 0.0000 0.0000 0.2500  6 Ni 2.48
9 Ni 0.0000 0.0000 0.5000  6 Ni 2.59
10 Ni 0.0000 0.0000 0.7500  6 Ni 2.48
11 Ni 0.1668 0.3336 0.6289  7 Ni 2.48-2.59
12 Ni 0.1668 0.3336 0.8711  7 Ni 2.48-2.59
13 Ni 0.1668 0.8332 0.6289  7 Ni 2.48-2.59
14 Ni 0.1668 0.8332 0.8711  7 Ni 2.48-2.59
15 Ni 0.3333 0.6667 0.7500  6 Ni 2.48
16 Ni 0.3336 0.1668 0.1289  7 Ni 2.48-2.59
17 Ni 0.3336 0.1668 0.3711  7 Ni 2.48-2.59
18 Ni 0.6664 0.8332 0.6289  7 Ni 2.48-2.59
19 Ni 0.6664 0.8332 0.8711  7 Ni 2.48-2.59
20 Ni 0.6667 0.3333 0.2500  6 Ni 2.48
21 Ni 0.8332 0.1668 0.1289  7 Ni 2.48-2.59
22 Ni 0.8332 0.1668 0.3711  7 Ni 2.48-2.59
23 Ni 0.8332 0.6664 0.1289  7 Ni 2.48-2.59
24 Ni 0.8332 0.6664 0.3711  7 Ni 2.48-2.59

Energy relative to the elements: -0.4076 eV/atom
V: 358.1 Å³/cell


(7)
An optimized crystal structure of HoThNi. Source: the Alexandria database, functional GGA-PBE.

a = 13.8528 Å, b = 3.8498 Å, c = 5.7477 Å
α = 90.00°, β = 99.35°, γ = 90.00°
Closest atoms and distances in Å follow each position.
Element x y z (fractional)
1 Ho 0.0781 0.0000 0.2717  3 Ni 2.84-3.14
2 Ho 0.4219 0.5000 0.7283  3 Ni 2.84-3.14
3 Ho 0.5781 0.5000 0.2717  3 Ni 2.84-3.14
4 Ho 0.9219 0.0000 0.7283  3 Ni 2.84-3.14
5 Th 0.1546 0.5000 0.8029  3 Ni 2.73-2.96
6 Th 0.3454 0.0000 0.1971  3 Ni 2.73-2.96
7 Th 0.6546 0.0000 0.8029  3 Ni 2.73-2.96
8 Th 0.8454 0.5000 0.1971  3 Ni 2.73-2.96
9 Ni 0.2310 0.5000 0.3504  2 Ni 2.58, 2 Th 2.73, 2 Ho 2.84
10 Ni 0.2690 0.0000 0.6496  2 Ni 2.58, 2 Th 2.73, 2 Ho 2.84
11 Ni 0.7310 0.0000 0.3504  2 Ni 2.58, 2 Th 2.73, 2 Ho 2.84
12 Ni 0.7690 0.5000 0.6496  2 Ni 2.58, 2 Th 2.73, 2 Ho 2.84

Energy relative to the lowest polymorph listed for this composition: 0 meV/atom
Energy relative to the elements: -0.2584 eV/atom
V: 302.4 Å³/cell


(8)
An optimized crystal structure of HoThNi3. Source: the Alexandria database, functional GGA-PBE.

a = 12.6001 Å, b = 12.6001 Å, c = 3.9629 Å
α = 90.00°, β = 90.00°, γ = 162.45°
Closest atoms and distances in Å follow each position.
Element x y z (fractional)
1 Ho 0.2046 0.7954 0.7500  7 Ni 2.82-2.94
2 Ho 0.7954 0.2046 0.2500  7 Ni 2.82-2.94
3 Th 0.0719 0.9281 0.2500  12 Ni 2.98-3.25
4 Th 0.9281 0.0719 0.7500  12 Ni 2.98-3.25
5 Ni 0.3227 0.6773 0.7500  2 Ni 2.41
6 Ni 0.3781 0.6219 0.2500  3 Ni 2.38-2.41
7 Ni 0.4734 0.5266 0.2500  3 Ni 2.38
8 Ni 0.5266 0.4734 0.7500  3 Ni 2.38
9 Ni 0.6219 0.3781 0.7500  3 Ni 2.38-2.41
10 Ni 0.6773 0.3227 0.2500  2 Ni 2.41

Energy relative to the lowest polymorph listed for this composition: 0 meV/atom
Energy relative to the elements: -0.4471 eV/atom
V: 189.7 Å³/cell


(9)
An optimized crystal structure of HoThNi. Source: the Alexandria database, functional GGA-PBE.

a = 10.8139 Å, b = 6.3516 Å, c = 11.9494 Å
α = 64.15°, β = 31.91°, γ = 83.94°
Closest atoms and distances in Å follow each position.
Element x y z (fractional)
1 Ho 0.1774 0.8226 0.3901  3 Ni 2.71-2.77
2 Ho 0.6401 0.8599 0.4274  3 Ni 2.71-2.77
3 Ho 0.8226 0.1774 0.6099  3 Ni 2.71-2.77
4 Ho 0.8599 0.6401 0.0726  3 Ni 2.71-2.77
5 Th 0.0488 0.3342 0.7995  3 Ni 2.77-2.93
6 Th 0.3342 0.0488 0.8175  3 Ni 2.77-2.93
7 Th 0.4325 0.4505 0.9158  3 Ni 2.77-2.93
8 Th 0.4505 0.4325 0.2012  3 Ni 2.77-2.93
9 Ni 0.1343 0.3755 0.9675  3 Ho 2.71-2.77, 3 Th 2.77-2.93
10 Ni 0.2825 0.7272 0.1157  3 Ho 2.71-2.77, 3 Th 2.77-2.93
11 Ni 0.3755 0.1343 0.5228  3 Ho 2.71-2.77, 3 Th 2.77-2.93
12 Ni 0.7272 0.2825 0.8745  3 Ho 2.71-2.77, 3 Th 2.77-2.93

Energy relative to the lowest polymorph listed for this composition: 256 meV/atom
Energy relative to the elements: -0.0021 eV/atom
V: 324.4 Å³/cell


(10)
An optimized crystal structure of HoThNi. Source: the Alexandria database, functional GGA-PBE.

a = 6.7825 Å, b = 6.7825 Å, c = 6.7825 Å
α = 90.00°, β = 90.00°, γ = 90.00°
Closest atoms and distances in Å follow each position.
Element x y z (fractional)
1 Ho 0.0000 0.0000 0.0000  4 Ni 2.94
2 Ho 0.0000 0.5000 0.5000  4 Ni 2.94
3 Ho 0.5000 0.0000 0.5000  4 Ni 2.94
4 Ho 0.5000 0.5000 0.0000  4 Ni 2.94
5 Th 0.0000 0.0000 0.5000  4 Ni 2.94
6 Th 0.0000 0.5000 0.0000  4 Ni 2.94
7 Th 0.5000 0.0000 0.0000  4 Ni 2.94
8 Th 0.5000 0.5000 0.5000  4 Ni 2.94
9 Ni 0.2500 0.2500 0.2500  4 Th 2.94, 4 Ho 2.94
10 Ni 0.2500 0.7500 0.7500  4 Th 2.94, 4 Ho 2.94
11 Ni 0.7500 0.2500 0.7500  4 Th 2.94, 4 Ho 2.94
12 Ni 0.7500 0.7500 0.2500  4 Th 2.94, 4 Ho 2.94

Energy relative to the lowest polymorph listed for this composition: 201 meV/atom
Energy relative to the elements: -0.0572 eV/atom
V: 312.0 Å³/cell


The highest V belongs to which entry? HoTh2Ni9


Which value of energy relative to the elements does entry 7 give? -0.2584 eV/atom


The lowest V belongs to which entry? number 1


Number 5 is which compound? HoTh2Ni